No. 1
TiNbVOs: optimized geometry, PBE.

Properties
For the energy, the calculation gives -0.72420 Ry/atom. Its space-group type is P4mm, No. 99.

a = 3.120 Å, b = 3.120 Å, c = 6.370 Å
α = 90.00°, β = 90.00°, γ = 90.00°
Positions (direct):
V 0.000 0.000 0.361
Os 0.000 0.000 0.852
Nb 0.500 0.500 0.108
Ti 0.500 0.500 0.607



No. 2
LiSiN3: optimized geometry, PBE.

Properties
Its space-group type is Pm-3m, No. 221. The calculation puts the formation energy without anion corrections at 2.15 eV/atom.

a = 3.523 Å, b = 3.523 Å, c = 3.523 Å
α = 90.00°, β = 90.00°, γ = 90.00°
Each line ends with the local moment (μB).
Positions (direct):
Si 0.500 0.500 0.500  0.01
N 0.000 0.000 0.500  0.12
Li 0.000 0.000 0.000  0.03
N 0.500 0.000 0.000  0.13
N 0.000 0.500 0.000  0.12



No. 3
Er12IrAu6: optimized geometry, PBE.

Properties
For the energy, the calculation gives -0.36228 Ry/atom. Its space-group type is R-3, No. 148.

a = 8.282 Å, b = 8.282 Å, c = 8.282 Å
α = 98.61°, β = 98.61°, γ = 98.61°
Positions (direct):
Au 0.132 0.622 0.306
Er 0.960 0.318 0.069
Au 0.694 0.868 0.378
Er 0.817 0.573 0.421
Er 0.573 0.421 0.817
Au 0.868 0.378 0.694
Er 0.427 0.579 0.183
Er 0.931 0.040 0.682
Au 0.622 0.306 0.132
Ir 0.000 0.000 0.000
Er 0.421 0.817 0.573
Er 0.682 0.931 0.040
Er 0.040 0.682 0.931
Er 0.069 0.960 0.318
Au 0.306 0.132 0.622
Er 0.318 0.069 0.960
Au 0.378 0.694 0.868
Er 0.183 0.427 0.579
Er 0.579 0.183 0.427



Sequential ρ output: 10.231 2.925 10.270 g/cm3